#i
A plane-wave DFT calculation with PBE-GGA was carried out for a relaxed structure of Ga2Ni2Sn.

The space group is P4/mbm (No. 127) and the conventional cell measures 7.4567, 7.4567 and 2.7835 Å, with angles of 90.00, 90.00 and 90.00 degrees. Symmetry generates all atoms from Ga at (0.1256, 0.3744, 0.0000), Ni at (0.1694, 0.6694, 0.5000) and Sn at (0.0000, 0.0000, 0.0000).

For the density of states at the Fermi level, the calculation gives 5.20 states/eV per cell. The total magnetization is 0.00 μB per formula unit.

***

#ii
A plane-wave DFT calculation with PBE-GGA was carried out for a relaxed structure of Ga2Ni2Sn.

The space group is P4/mbm (No. 127) and the conventional cell measures 7.2639, 7.2639 and 2.8967 Å, with angles of 90.00, 90.00 and 90.00 degrees. Symmetry generates all atoms from Ga at (0.1535, 0.3465, 0.0000), Ni at (0.1382, 0.6382, 0.5000) and Sn at (0.0000, 0.0000, 0.5000).

For the density of states at the Fermi level, the calculation gives 8.04 states/eV per cell. The total magnetization is 0.00 μB per formula unit.

***

What should be chosen as the most stable of them? Choose #ii.

***

#i
A plane-wave DFT calculation with PBE-GGA was carried out for a relaxed structure of Ga2Ni2Sn.

The space group is I4/mmm (No. 139) and the conventional cell measures 3.6436, 3.6436 and 11.8492 Å, with angles of 90.00, 90.00 and 90.00 degrees. Symmetry generates all atoms from Ga at (0.0000, 0.5000, 0.2500), Ni at (0.0000, 0.0000, 0.1068) and Sn at (0.0000, 0.0000, 0.5000).

For the density of states at the Fermi level, the calculation gives 5.52 states/eV per cell. The total magnetization is 0.00 μB per formula unit.

***

#ii
A plane-wave DFT calculation with PBE-GGA was carried out for a relaxed structure of Ga2Ni2Sn.

The space group is P-3m1 (No. 164) and the conventional cell measures 4.3014, 4.3014 and 4.9377 Å, with angles of 90.00, 90.00 and 120.00 degrees. Symmetry generates all atoms from Ga at (0.3333, 0.6667, 0.1328), Ni at (0.3333, 0.6667, 0.6451) and Sn at (0.0000, 0.0000, 0.5000).

For the density of states at the Fermi level, the calculation gives 1.80 states/eV per cell. The total magnetization is 0.00 μB per formula unit.

***

What should be chosen as the most stable of them? Choose #ii.

***

#i
A plane-wave DFT calculation with PBE-GGA was carried out for a relaxed structure of GaNi8Sn2.

The space group is C2/m (No. 12) and the conventional cell measures 13.2314, 3.8358 and 5.9019 Å, with angles of 90.00, 109.08 and 90.00 degrees. Symmetry generates all atoms from Ga at (0.0000, 0.0000, 0.0000), Ni at (0.0319, 0.5000, 0.7262), Ni at (0.0837, 0.0000, 0.4446), Ni at (0.1393, 0.5000, 0.1819), Ni at (0.1663, 0.0000, 0.9064) and Sn at (0.2136, 0.5000, 0.6635).

For the density of states at the Fermi level, the calculation gives 20.14 states/eV per cell. The total magnetization is 0.00 μB per formula unit.

***

#ii
A plane-wave DFT calculation with PBE-GGA was carried out for a relaxed structure of GaNi8Sn2.

The space group is Immm (No. 71) and the conventional cell measures 3.6723, 7.2641 and 10.9211 Å, with angles of 90.00, 90.00 and 90.00 degrees. Symmetry generates all atoms from Ga at (0.0000, 0.0000, 0.0000), Ni at (0.0000, 0.2403, 0.1660), Ni at (0.0000, 0.2746, 0.5000), Ni at (0.0000, 0.5000, 0.3272) and Sn at (0.0000, 0.0000, 0.3512).

For the density of states at the Fermi level, the calculation gives 24.24 states/eV per cell. The total magnetization is 0.00 μB per formula unit.

***

What should be chosen as the most stable of them? Choose #ii.

***

#i
A plane-wave DFT calculation with PBE-GGA was carried out for a relaxed structure of SrGaNi3.

The space group is Pm-3m (No. 221) and the conventional cell measures 4.5336, 4.5336 and 4.5336 Å, with angles of 90.00, 90.00 and 90.00 degrees. Symmetry generates all atoms from Sr at (0.0000, 0.0000, 0.0000), Ga at (0.5000, 0.5000, 0.5000) and Ni at (0.0000, 0.5000, 0.5000).

For the density of states at the Fermi level, the calculation gives 6.70 states/eV per cell. The total magnetization is 0.00 μB per formula unit.

***

#ii
A plane-wave DFT calculation with PBE-GGA was carried out for a relaxed structure of SrGaNi3.

The space group is Pnma (No. 62) and the conventional cell measures 8.6644, 4.0820 and 9.7078 Å, with angles of 90.00, 90.00 and 90.00 degrees. Symmetry generates all atoms from Sr at (0.1744, 0.2500, 0.0161), Ga at (0.0846, 0.2500, 0.3695), Ni at (0.0696, 0.2500, 0.6296), Ni at (0.1535, 0.7500, 0.7636) and Ni at (0.1832, 0.7500, 0.2493).

For the density of states at the Fermi level, the calculation gives 12.47 states/eV per cell. The total magnetization is 0.00 μB per formula unit.

***

#iii
A plane-wave DFT calculation with PBE-GGA was carried out for a relaxed structure of SrGaNi3.

The space group is Pm-3m (No. 221) and the conventional cell measures 4.7824, 4.7824 and 4.7824 Å, with angles of 90.00, 90.00 and 90.00 degrees. Symmetry generates all atoms from Sr at (0.0000, 0.0000, 0.0000), Ga at (0.5000, 0.5000, 0.5000) and Ni at (0.0000, 0.0000, 0.5000).

For the density of states at the Fermi level, the calculation gives 5.38 states/eV per cell. The total magnetization is 0.00 μB per formula unit.

***

What should be chosen as the most stable of them? Choose #ii.

***

#i
A plane-wave DFT calculation with PBE-GGA was carried out for a relaxed structure of Sr2Ga2Ni.

The space group is C2/m (No. 12) and the conventional cell measures 11.8378, 4.2477 and 11.3842 Å, with angles of 90.00, 116.76 and 90.00 degrees. Symmetry generates all atoms from Sr at (0.0095, 0.0000, 0.1604), Sr at (0.1916, 0.0000, 0.6151), Ga at (0.0079, 0.5000, 0.3752), Ga at (0.2017, 0.5000, 0.0596) and Ni at (0.1978, 0.5000, 0.8359).

For the density of states at the Fermi level, the calculation gives 13.04 states/eV per cell. The total magnetization is 0.00 μB per formula unit.

***

#ii
A plane-wave DFT calculation with PBE-GGA was carried out for a relaxed structure of Sr2Ga2Ni.

The space group is P4/mbm (No. 127) and the conventional cell measures 7.0672, 7.0672 and 4.9976 Å, with angles of 90.00, 90.00 and 90.00 degrees. Symmetry generates all atoms from Sr at (0.1797, 0.3203, 0.0000), Ga at (0.1338, 0.6338, 0.5000) and Ni at (0.0000, 0.0000, 0.5000).

For the density of states at the Fermi level, the calculation gives 9.64 states/eV per cell. The total magnetization is 0.00 μB per formula unit.

***

What should be chosen as the most stable of them? Choose #i.

***

#i
A plane-wave DFT calculation with PBE-GGA was carried out for a relaxed structure of SrGa3Ni3.

The space group is R-3 (No. 148, hexagonal axes) and the conventional cell measures 6.4595, 6.4595 and 21.4096 Å, with angles of 90.00, 90.00 and 120.00 degrees. Symmetry generates all atoms from Sr at (0.0000, 0.0000, 0.1614), Ga at (0.0276, 0.5922, 0.3767) and Ni at (0.0106, 0.7867, 0.5959).

For the density of states at the Fermi level, the calculation gives 19.73 states/eV per cell. The total magnetization is 0.00 μB per formula unit.

***

#ii
A plane-wave DFT calculation with PBE-GGA was carried out for a relaxed structure of SrGa3Ni3.

The space group is Pm-3n (No. 223) and the conventional cell measures 6.5619, 6.5619 and 6.5619 Å, with angles of 90.00, 90.00 and 90.00 degrees. Symmetry generates all atoms from Sr at (0.0000, 0.0000, 0.0000), Ga at (0.0000, 0.2500, 0.5000) and Ni at (0.0000, 0.5000, 0.2500).

For the density of states at the Fermi level, the calculation gives 10.48 states/eV per cell. The total magnetization is 0.00 μB per formula unit.

***

What should be chosen as the most stable of them? Choose #i.

***

#i
A plane-wave DFT calculation with PBE-GGA was carried out for a relaxed structure of Ta2GaNi6.

The space group is C2/m (No. 12) and the conventional cell measures 12.5762, 7.0520 and 2.6637 Å, with angles of 90.00, 90.20 and 90.00 degrees. Symmetry generates all atoms from Ta at (0.1806, 0.0000, 0.4980), Ga at (0.0000, 0.5000, 0.0000), Ni at (0.0000, 0.1865, 0.5000) and Ni at (0.1601, 0.3190, 0.9999).

For the density of states at the Fermi level, the calculation gives 11.13 states/eV per cell. The total magnetization is 0.00 μB per formula unit.

***

#ii
A plane-wave DFT calculation with PBE-GGA was carried out for a relaxed structure of Ta2GaNi6.

The space group is P-3m1 (No. 164) and the conventional cell measures 4.9644, 4.9644 and 5.4138 Å, with angles of 90.00, 90.00 and 120.00 degrees. Symmetry generates all atoms from Ta at (0.3333, 0.6667, 0.1470), Ga at (0.0000, 0.0000, 0.0000) and Ni at (0.1756, 0.3512, 0.6735).

For the density of states at the Fermi level, the calculation gives 6.32 states/eV per cell. The total magnetization is 0.00 μB per formula unit.

***

What should be chosen as the most stable of them? Choose #ii.